No. 1
ScMoBr2 | PBE | optimized geometry

CIF file:
```
data_ScMoBr2
_cell_length_a 6.4031
_cell_length_b 9.0005
_cell_length_c 3.5203
_cell_angle_alpha 90.00
_cell_angle_beta 120.72
_cell_angle_gamma 90.00
_space_group_name_H-M_alt 'C 1 2/m 1'
_space_group_IT_number 12
loop_
_space_group_symop_operation_xyz
'x,y,z'
'-x,-y,-z'
'-x,y,-z'
'x,-y,z'
'x+1/2,y+1/2,z'
'-x+1/2,-y+1/2,-z'
'-x+1/2,y+1/2,-z'
'x+1/2,-y+1/2,z'
loop_
_atom_site_label
_atom_site_fract_x
_atom_site_fract_y
_atom_site_fract_z
Sc1 0.0000 0.0000 0.0000
Mo1 0.0000 0.5000 0.0000
Br1 0.2500 0.2500 0.0000
```

Properties
Distance to the lowest polymorph of the same formula, kcal/mol of atoms: 11.17
Size of the total moment, μB/cell: 4.031
Volume, Å³ per cell: 174.4
E, eV/atom: -5.001
Energy relative to the elements, uncorrected, kJ per mole of atoms: 12.1

---

No. 2
Li3PbO3 | PBE | optimized geometry

CIF file:
```
data_Li3PbO3
_cell_length_a 7.5394
_cell_length_b 13.0687
_cell_length_c 3.9508
_cell_angle_alpha 90.00
_cell_angle_beta 90.00
_cell_angle_gamma 90.00
_space_group_name_H-M_alt 'C m c m'
_space_group_IT_number 63
_space_group_name_Hall '-C 2c 2'
loop_
_atom_site_label
_atom_site_fract_x
_atom_site_fract_y
_atom_site_fract_z
Li1 0.0000 0.1394 0.2500
Li2 0.2099 0.0695 0.7500
Pb1 0.0000 0.3331 0.7500
O1 0.0000 0.1678 0.7500
O2 0.2476 0.4162 0.7500
```

Properties
Size of the total moment, μB/cell: 2.669
Volume, Å³ per cell: 389.3
E, eV/atom: -4.825
Energy relative to the elements, uncorrected, kJ per mole of atoms: -130.3